# KTm3B4O12 PBE-GGA optimized geometry
data_KTm3B4O12
_cell_length_a 10.2198
_cell_length_b 10.2198
_cell_length_c 8.8131
_cell_angle_alpha 90.00
_cell_angle_beta 90.00
_cell_angle_gamma 120.00
_space_group_name_H-M_alt 'R 3 2'
_space_group_IT_number 155
_space_group_name_Hall 'R 3 2"'
loop_
_atom_site_label
_atom_site_type_symbol
_atom_site_fract_x
_atom_site_fract_y
_atom_site_fract_z
_atom_site_occupancy
K1 K 0.0000 0.0000 0.0000 1
Tm1 Tm 0.0000 0.5485 0.0000 1
B1 B 0.0000 0.0000 0.5000 1
B2 B 0.0000 0.4560 0.5000 1
O1 O 0.0000 0.5915 0.5000 1
O2 O 0.0000 0.8637 0.5000 1
O3 O 0.0098 0.2143 0.1988 1
# magnetic moment: 6.1 μB/cell
# DFT total energy: -7.77 eV per atom



# K2UBO6 PBE-GGA optimized geometry
data_K2UBO6
_cell_length_a 5.990
_cell_length_b 6.008
_cell_length_c 6.097
_cell_angle_alpha 112.17
_cell_angle_beta 111.64
_cell_angle_gamma 103.96
_space_group_name_H-M_alt 'P -1'
_space_group_IT_number 2
_space_group_name_Hall '-P 1'
loop_
_atom_site_label
_atom_site_type_symbol
_atom_site_fract_x
_atom_site_fract_y
_atom_site_fract_z
_atom_site_occupancy
K1 K 0.247 0.248 0.002 1
U1 U 0.500 0.000 0.500 1
B1 B 0.000 0.500 0.500 1
O1 O 0.172 0.670 0.499 1
O2 O 0.262 0.164 0.428 1
O3 O 0.330 0.776 0.105 1
# magnetic moment: 1.1 μB/cell
# DFT total energy: -7.27 eV per atom



# KUB2O6 PBE-GGA optimized geometry
data_KUB2O6
_cell_length_a 5.3166
_cell_length_b 5.3166
_cell_length_c 17.9459
_cell_angle_alpha 90.00
_cell_angle_beta 90.00
_cell_angle_gamma 120.00
_space_group_name_H-M_alt 'R -3'
_space_group_IT_number 148
_space_group_name_Hall '-R 3'
loop_
_atom_site_label
_atom_site_type_symbol
_atom_site_fract_x
_atom_site_fract_y
_atom_site_fract_z
_atom_site_occupancy
K1 K 0.0000 0.0000 0.0000 1
U1 U 0.0000 0.0000 0.5000 1
B1 B 0.0000 0.0000 0.2359 1
O1 O 0.0420 0.5852 0.9031 1
# magnetic moment: 3.0 μB/cell
# DFT total energy: -8.23 eV per atom



Number 1: formation energy (no corrections) -5274 kJ/mol of formula units. Number 2: formation energy (no corrections) -2195 kJ/mol of formula units. Number 3: formation energy (no corrections) -2588 kJ/mol of formula units.